Cr3W | PBEsol | optimized geometry

The structure in extended XYZ format:
```
16
Lattice="4.141 -4.101 0.000 4.141 4.101 0.000 -0.032 0.000 5.844" Properties=species:S:1:pos:R:3 pbc="T T T"
Cr 0.000 0.000 0.000
Cr 8.264 0.000 2.873
Cr 6.222 -2.023 2.875
Cr 2.073 2.074 5.842
Cr 4.151 2.075 1.460
Cr 4.144 2.063 4.338
Cr 6.222 2.023 2.875
Cr 4.174 0.000 2.889
Cr 2.073 -2.074 5.842
Cr 4.151 -2.075 1.460
Cr 4.144 -2.063 4.338
Cr 6.263 0.000 1.451
W 2.034 0.000 4.344
W 2.050 0.000 1.457
W 4.204 0.000 0.007
W 6.255 0.000 4.332
```

Its formation energy is 0.093 eV/atom. The space group is Cm, No. 8.


BaBeAg2Mo | PBEsol | optimized geometry

The structure in extended XYZ format:
```
5
Lattice="4.616 0.000 0.000 0.000 4.616 0.000 0.000 0.000 4.568" Properties=species:S:1:pos:R:3 pbc="T T T"
Ba 0.000 0.000 0.000
Be 2.308 2.308 2.284
Ag 0.000 2.308 2.284
Ag 2.308 0.000 2.284
Mo 2.308 2.308 0.000
```

Its formation energy is 0.596 eV/atom. The space group is P4/mmm, No. 123.


LaAgMo | PBEsol | optimized geometry

The structure in extended XYZ format:
```
6
Lattice="2.885 0.000 0.000 0.000 2.885 0.000 0.000 0.000 14.348" Properties=species:S:1:pos:R:3 pbc="T T T"
La 0.000 0.000 0.000
La 1.442 1.442 7.174
Ag 0.000 0.000 4.535
Ag 1.442 1.442 11.709
Mo 0.000 0.000 9.718
Mo 1.442 1.442 2.544
```

Its formation energy is 0.483 eV/atom. The space group is I4mm, No. 107.


Sr2CoN2 | PBEsol | optimized geometry

The structure in extended XYZ format:
```
10
Lattice="3.791 0.000 0.000 0.000 3.791 0.000 0.000 0.000 12.224" Properties=species:S:1:pos:R:3 pbc="T T T"
Sr 0.000 0.000 1.763
Sr 0.000 0.000 10.461
Sr 1.895 1.895 4.349
Sr 1.895 1.895 7.875
Co 0.000 0.000 6.112
Co 1.895 1.895 0.000
N 0.000 0.000 4.403
N 0.000 0.000 7.821
N 1.895 1.895 1.709
N 1.895 1.895 10.515
```

Its raw formation energy is -585.9 meV/atom. The space group is I4/mmm, No. 139.


Tl2CrGeSb | PBEsol | optimized geometry

The structure in extended XYZ format:
```
5
Lattice="5.287 0.000 0.000 0.000 5.287 0.000 0.000 0.000 5.356" Properties=species:S:1:pos:R:3 pbc="T T T"
Tl 0.000 2.644 0.000
Tl 2.644 0.000 0.000
Cr 0.000 0.000 2.678
Ge 2.644 2.644 0.000
Sb 2.644 2.644 2.678
```

Its raw formation energy is 907.3 meV/atom. The space group is P4/mmm, No. 123.


TaPdBr2 | PBEsol | optimized geometry

The structure in extended XYZ format:
```
16
Lattice="6.510 0.000 0.000 0.000 6.510 0.000 0.000 0.000 6.510" Properties=species:S:1:pos:R:3 pbc="T T T"
Ta 0.000 0.000 0.000
Ta 0.000 3.255 3.255
Ta 3.255 0.000 3.255
Ta 3.255 3.255 0.000
Pd 0.000 0.000 3.255
Pd 0.000 3.255 0.000
Pd 3.255 0.000 0.000
Pd 3.255 3.255 3.255
Br 1.628 1.628 1.628
Br 1.628 1.628 4.883
Br 1.628 4.883 1.628
Br 1.628 4.883 4.883
Br 4.883 1.628 1.628
Br 4.883 1.628 4.883
Br 4.883 4.883 1.628
Br 4.883 4.883 4.883
```

The value obtained for the energy above the most stable polymorph in this dataset is 63 meV/atom. Its raw formation energy is 406.1 meV/atom. The space group is Fm-3m, No. 225.


Li3InO | PBEsol | optimized geometry

The structure in extended XYZ format:
```
5
Lattice="4.041 0.000 0.000 0.000 4.041 0.000 0.000 0.000 4.041" Properties=species:S:1:pos:R:3 pbc="T T T"
Li 0.000 0.000 2.021
Li 0.000 2.021 0.000
Li 2.021 0.000 0.000
In 2.021 2.021 2.021
O 0.000 0.000 0.000
```

Its raw formation energy is -913.4 meV/atom. The space group is Pm-3m, No. 221.


CdMoOs2 | PBEsol | optimized geometry

The structure in extended XYZ format:
```
8
Lattice="3.041 0.000 0.000 0.000 4.477 0.000 0.000 0.000 9.090" Properties=species:S:1:pos:R:3 pbc="T T T"
Cd 0.000 0.000 0.000
Cd 1.521 2.239 4.545
Mo 0.000 2.239 6.940
Mo 1.521 0.000 2.395
Os 0.000 0.000 4.535
Os 0.000 2.239 2.204
Os 1.521 0.000 6.749
Os 1.521 2.239 9.080
```

Its formation energy is 0.594 eV/atom. The space group is Imm2, No. 44.


SbPdS2 | PBEsol | optimized geometry

The structure in extended XYZ format:
```
16
Lattice="5.740 0.000 0.000 0.000 5.740 0.000 0.000 0.000 11.439" Properties=species:S:1:pos:R:3 pbc="T T T"
Sb 0.000 0.000 0.000
Sb 0.000 2.870 2.860
Sb 2.870 0.000 8.580
Sb 2.870 2.870 5.720
Pd 0.000 0.000 5.720
Pd 0.000 2.870 8.580
Pd 2.870 0.000 2.860
Pd 2.870 2.870 0.000
S 1.180 1.435 7.150
S 1.435 4.050 10.009
S 1.435 4.560 4.290
S 1.690 1.435 1.430
S 4.050 4.305 1.430
S 4.305 1.180 4.290
S 4.305 1.690 10.009
S 4.560 4.305 7.150
```

Its raw formation energy is -4.9 meV/atom. The space group is I-42d, No. 122.


AcGe3 | PBEsol | optimized geometry

The structure in extended XYZ format:
```
8
Lattice="6.511 0.000 0.000 -3.256 5.639 0.000 0.000 0.000 4.940" Properties=species:S:1:pos:R:3 pbc="T T T"
Ac 0.000 3.759 1.235
Ac 3.256 1.880 3.705
Ge 0.000 1.546 3.705
Ge -1.916 4.866 3.705
Ge 1.339 0.773 1.235
Ge 1.916 4.866 3.705
Ge 5.172 0.773 1.235
Ge 3.256 4.092 1.235
```

Its formation energy is -0.494 eV/atom. The space group is P6_3/mmc, No. 194.


MgSc2Ta | PBEsol | optimized geometry

The structure in extended XYZ format:
```
8
Lattice="4.282 0.000 0.000 0.000 4.282 0.000 0.000 0.000 8.907" Properties=species:S:1:pos:R:3 pbc="T T T"
Mg 0.000 0.000 0.000
Mg 2.141 2.141 4.453
Sc 0.000 0.000 4.453
Sc 0.000 2.141 2.227
Sc 2.141 0.000 6.680
Sc 2.141 2.141 0.000
Ta 0.000 2.141 6.680
Ta 2.141 0.000 2.227
```

Its formation energy is 0.241 eV/atom. The space group is I-4m2, No. 119.


RbZrS2N | PBEsol | optimized geometry

The structure in extended XYZ format:
```
5
Lattice="5.141 0.000 0.000 0.000 5.141 0.000 0.000 0.000 4.099" Properties=species:S:1:pos:R:3 pbc="T T T"
Rb 0.000 0.000 0.000
Zr 2.570 2.570 2.049
S 0.000 2.570 0.000
S 2.570 0.000 0.000
N 0.000 0.000 2.049
```

The value obtained for the energy above the most stable polymorph in this dataset is 2279 meV/atom. Its raw formation energy is 1554.4 meV/atom. The space group is P4/mmm, No. 123.


Sc2BeMo | PBEsol | optimized geometry

The structure in extended XYZ format:
```
4
Lattice="2.843 0.000 0.000 0.000 2.843 0.000 0.000 0.000 8.288" Properties=species:S:1:pos:R:3 pbc="T T T"
Sc 0.000 0.000 0.000
Sc 1.422 1.422 2.755
Be 0.000 0.000 4.544
Mo 1.422 1.422 6.085
```

Its formation energy is 0.162 eV/atom. The space group is P4mm, No. 99.


Sr2TeCl | PBEsol | optimized geometry

The structure in extended XYZ format:
```
4
Lattice="5.446 0.000 0.000 0.000 5.446 0.000 0.000 0.000 3.953" Properties=species:S:1:pos:R:3 pbc="T T T"
Sr 0.000 2.723 0.000
Sr 2.723 0.000 0.000
Te 0.000 0.000 1.977
Cl 2.723 2.723 1.977
```

The value obtained for the energy above the most stable polymorph in this dataset is 179 meV/atom. Its raw formation energy is -1505.4 meV/atom. The space group is P4/mmm, No. 123.


Mg2Ga | PBEsol | optimized geometry

The structure in extended XYZ format:
```
12
Lattice="8.871 0.000 0.000 0.000 5.305 0.000 -3.436 0.000 5.042" Properties=species:S:1:pos:R:3 pbc="T T T"
Mg 0.664 0.515 1.254
Mg -1.054 4.790 3.775
Mg 0.335 2.137 3.787
Mg 2.053 3.168 1.267
Mg 3.381 2.137 3.775
Mg 5.099 3.168 1.254
Mg 6.489 0.515 1.267
Mg 4.771 4.790 3.787
Ga -2.577 2.164 3.781
Ga -0.859 3.141 1.260
Ga 3.576 0.488 1.260
Ga 1.858 4.817 3.781
```

Its formation energy is -0.088 eV/atom. The space group is C2/c, No. 15.


Sr2CaFe | PBEsol | optimized geometry

The structure in extended XYZ format:
```
16
Lattice="8.050 0.000 0.000 0.000 8.050 0.000 0.000 0.000 8.050" Properties=species:S:1:pos:R:3 pbc="T T T"
Sr 0.000 0.000 0.000
Sr 0.000 4.025 4.025
Sr 2.013 2.013 2.013
Sr 2.013 6.038 6.038
Sr 4.025 0.000 4.025
Sr 4.025 4.025 0.000
Sr 6.038 2.013 6.038
Sr 6.038 6.038 2.013
Ca 2.013 2.013 6.038
Ca 2.013 6.038 2.013
Ca 6.038 2.013 2.013
Ca 6.038 6.038 6.038
Fe 0.000 0.000 4.025
Fe 0.000 4.025 0.000
Fe 4.025 0.000 0.000
Fe 4.025 4.025 4.025
```

The value obtained for the energy above the most stable polymorph in this dataset is 162 meV/atom. Its formation energy is 0.673 eV/atom. The space group is F-43m, No. 216.


CoTcN2O | PBEsol | optimized geometry

The structure in extended XYZ format:
```
5
Lattice="3.577 0.000 0.000 0.000 3.577 0.000 0.000 0.000 3.584" Properties=species:S:1:pos:R:3 pbc="T T T"
Co 0.000 0.000 0.000
Tc 1.788 1.788 1.792
N 0.000 1.788 0.000
N 1.788 0.000 0.000
O 0.000 0.000 1.792
```

Its raw formation energy is 777.9 meV/atom. The space group is P4/mmm, No. 123.


TiAlCo3 | PBEsol | optimized geometry

The structure in extended XYZ format:
```
5
Lattice="4.087 0.000 0.000 0.000 4.087 0.000 0.000 0.000 4.087" Properties=species:S:1:pos:R:3 pbc="T T T"
Ti 0.000 0.000 0.000
Al 2.044 2.044 2.044
Co 0.000 2.044 2.044
Co 2.044 0.000 2.044
Co 2.044 2.044 0.000
```

Its formation energy is 0.717 eV/atom. The space group is Pm-3m, No. 221.


MnTcTe | PBEsol | optimized geometry

The structure in extended XYZ format:
```
6
Lattice="2.986 0.000 0.000 0.000 2.986 0.000 0.000 0.000 10.170" Properties=species:S:1:pos:R:3 pbc="T T T"
Mn 0.000 0.000 0.000
Mn 1.493 1.493 5.085
Tc 0.000 0.000 6.527
Tc 1.493 1.493 1.441
Te 0.000 0.000 3.338
Te 1.493 1.493 8.423
```

The value obtained for the energy above the most stable polymorph in this dataset is 198 meV/atom. Its raw formation energy is 447.4 meV/atom. The space group is I4mm, No. 107.


Cs2NaInF6 | PBEsol | optimized geometry

The structure in extended XYZ format:
```
10
Lattice="0.000 4.431 4.431 4.431 0.000 4.431 4.431 4.431 0.000" Properties=species:S:1:pos:R:3 pbc="T T T"
Cs 2.215 2.215 2.215
Cs 6.646 6.646 6.646
Na 0.000 0.000 0.000
In 4.431 4.431 4.431
F 4.431 4.431 2.334
F 4.431 2.334 4.431
F 6.527 4.431 4.431
F 2.334 4.431 4.431
F 4.431 6.527 4.431
F 4.431 4.431 6.527
```

Its raw formation energy is -2772.7 meV/atom. The space group is Fm-3m, No. 225.


SrNi2Rh | PBEsol | optimized geometry

The structure in extended XYZ format:
```
12
Lattice="4.131 0.000 0.000 -2.065 3.577 0.000 0.000 0.000 15.176" Properties=species:S:1:pos:R:3 pbc="T T T"
Sr 0.000 0.000 0.000
Sr 0.000 2.385 10.117
Sr 2.065 1.192 5.059
Ni 0.000 0.000 2.847
Ni 0.000 0.000 12.329
Ni 0.000 2.385 7.270
Ni 0.000 2.385 12.965
Ni 2.065 1.192 2.211
Ni 2.065 1.192 7.906
Rh 0.000 0.000 7.588
Rh 0.000 2.385 2.529
Rh 2.065 1.192 12.647
```

The value obtained for the energy above the most stable polymorph in this dataset is 0 meV/atom. Its formation energy is -0.054 eV/atom. The space group is R-3m, No. 166.


Sr2IrCSe | PBEsol | optimized geometry

The structure in extended XYZ format:
```
5
Lattice="5.431 0.000 0.000 0.000 5.431 0.000 0.000 0.000 3.824" Properties=species:S:1:pos:R:3 pbc="T T T"
Sr 0.000 2.715 0.000
Sr 2.715 0.000 0.000
Ir 0.000 0.000 1.912
C 0.000 0.000 0.000
Se 2.715 2.715 1.912
```

Its raw formation energy is -667.2 meV/atom. The space group is P4/mmm, No. 123.


CrCu2Rh | PBEsol | optimized geometry

The structure in extended XYZ format:
```
8
Lattice="3.535 0.000 0.000 0.000 3.535 0.000 0.000 0.000 7.831" Properties=species:S:1:pos:R:3 pbc="T T T"
Cr 0.000 0.000 0.000
Cr 1.768 1.768 3.915
Cu 0.000 1.768 1.958
Cu 0.000 1.768 5.873
Cu 1.768 0.000 1.958
Cu 1.768 0.000 5.873
Rh 0.000 0.000 3.915
Rh 1.768 1.768 0.000
```

Its formation energy is 0.145 eV/atom. The space group is I4/mmm, No. 139.


Ca2MgTa | PBEsol | optimized geometry

The structure in extended XYZ format:
```
4
Lattice="5.700 0.000 0.000 0.000 5.700 0.000 0.000 0.000 3.195" Properties=species:S:1:pos:R:3 pbc="T T T"
Ca 0.000 2.850 0.000
Ca 2.850 0.000 0.000
Mg 0.000 0.000 1.598
Ta 2.850 2.850 1.598
```

Its formation energy is 0.682 eV/atom. The space group is P4/mmm, No. 123.


CaAuCl2 | PBEsol | optimized geometry

The structure in extended XYZ format:
```
16
Lattice="6.935 0.000 0.000 0.000 6.935 0.000 0.000 0.000 6.935" Properties=species:S:1:pos:R:3 pbc="T T T"
Ca 0.000 0.000 0.000
Ca 0.000 3.468 3.468
Ca 3.468 0.000 3.468
Ca 3.468 3.468 0.000
Au 0.000 0.000 3.468
Au 0.000 3.468 0.000
Au 3.468 0.000 0.000
Au 3.468 3.468 3.468
Cl 1.734 1.734 1.734
Cl 1.734 1.734 5.201
Cl 1.734 5.201 1.734
Cl 1.734 5.201 5.201
Cl 5.201 1.734 1.734
Cl 5.201 1.734 5.201
Cl 5.201 5.201 1.734
Cl 5.201 5.201 5.201
```

The value obtained for the energy above the most stable polymorph in this dataset is 26 meV/atom. Its raw formation energy is -1038.8 meV/atom. The space group is Fm-3m, No. 225.


ScOsCl2 | PBEsol | optimized geometry

The structure in extended XYZ format:
```
8
Lattice="3.078 0.000 0.000 0.000 4.005 0.000 0.000 0.000 12.206" Properties=species:S:1:pos:R:3 pbc="T T T"
Sc 0.000 0.000 0.000
Sc 1.539 2.002 6.103
Os 0.000 2.002 8.086
Os 1.539 0.000 1.983
Cl 0.000 0.000 4.904
Cl 0.000 2.002 1.931
Cl 1.539 0.000 8.034
Cl 1.539 2.002 11.007
```

The value obtained for the energy above the most stable polymorph in this dataset is 108 meV/atom. Its raw formation energy is -314.4 meV/atom. The space group is Imm2, No. 44.


Er3Cu4Si4 | PBEsol | optimized geometry

The structure in extended XYZ format:
```
11
Lattice="-2.028 3.215 6.708 2.028 -3.215 6.708 2.028 3.215 -6.708" Properties=species:S:1:pos:R:3 pbc="T T T"
Er 0.000 0.000 0.000
Er 2.028 0.000 4.974
Er 0.000 3.215 1.733
Cu 2.028 1.231 -2.273
Cu 2.028 1.231 2.273
Cu 0.000 1.984 4.434
Cu 0.000 1.984 8.981
Si 0.000 0.000 2.901
Si 2.028 2.016 0.000
Si 0.000 1.199 6.708
Si 0.000 0.000 10.514
```

Its raw formation energy is -700.4 meV/atom. The space group is Immm, No. 71.


Li3ClO | PBEsol | optimized geometry

The structure in extended XYZ format:
```
5
Lattice="4.232 0.000 0.000 0.000 4.232 0.000 0.000 0.000 4.232" Properties=species:S:1:pos:R:3 pbc="T T T"
Li 0.000 0.000 2.116
Li 0.000 2.116 0.000
Li 2.116 0.000 0.000
Cl 0.000 0.000 0.000
O 2.116 2.116 2.116
```

The value obtained for the energy above the most stable polymorph in this dataset is 953 meV/atom. Its raw formation energy is -879.2 meV/atom. The space group is Pm-3m, No. 221.


| no. | ρ (g/cm3) | total magnetic moment (μB per formula unit) |
| --- | --- | --- |
| 1 | 11.37 | 0.01 |
| 2 | 7.82 | 0.00 |
| 3 | 9.53 | 0.00 |
| 4 | 4.96 | 1.13 |
| 5 | 7.27 | 4.83 |
| 6 | 10.77 | 0.00 |
| 7 | 3.82 | 0.00 |
| 8 | 15.80 | 0.00 |
| 9 | 5.15 | 0.00 |
| 10 | 8.15 | 0.00 |
| 11 | 6.00 | 0.00 |
| 12 | 3.91 | 0.09 |
| 13 | 4.83 | 0.00 |
| 14 | 4.79 | 0.00 |
| 15 | 3.31 | 0.00 |
| 16 | 3.45 | 3.13 |
| 17 | 7.28 | 1.19 |
| 18 | 6.12 | 0.00 |
| 19 | 10.28 | 0.01 |
| 20 | 4.94 | 0.00 |
| 21 | 6.84 | 0.48 |
| 22 | 6.75 | 0.00 |
| 23 | 9.57 | 2.45 |
| 24 | 4.57 | 1.65 |
| 25 | 6.13 | 0.00 |
| 26 | 6.76 | 0.00 |
| 27 | 8.24 | 0.00 |
| 28 | 1.58 | 0.04 |